No. 1
AcCdSb3 | PBE | optimized geometry

Cell: 6.565 6.450 14.358 Å, 90.00 90.00 90.00°
Sites, in units of the cell vectors:
Sb 0.250 0.688 0.080
Sb 0.250 0.988 0.245
Sb 0.250 0.488 0.755
Ac 0.250 0.495 0.319
Sb 0.250 0.188 0.920
Ac 0.750 0.005 0.319
Cd 0.000 0.250 0.106
Sb 0.750 0.512 0.245
Ac 0.750 0.505 0.681
Sb 0.000 0.250 0.501
Cd 0.000 0.750 0.894
Sb 0.000 0.750 0.499
Sb 0.750 0.312 0.920
Sb 0.500 0.750 0.499
Sb 0.750 0.012 0.755
Cd 0.500 0.250 0.106
Ac 0.250 0.995 0.681
Cd 0.500 0.750 0.894
Sb 0.500 0.250 0.501
Sb 0.750 0.812 0.080

Results
symmetry	Pbcm, No. 57
E_form (uncorrected)	-438.5	meV/atom

=====

No. 2
Tm2ScH | PBE | optimized geometry

Cell: 3.227 3.227 8.072 Å, 90.00 90.00 90.00°
Sites, in units of the cell vectors:
Tm 0.000 0.000 0.198
Sc 0.500 0.500 0.500
H 0.500 0.500 0.000
Tm 0.000 0.000 0.802

Results
symmetry	P4/mmm, No. 123
offset from the most stable computed form	0.276	eV/atom

=====

Number 1: uncorrected energy -3.917 eV/atom. Number 2: uncorrected energy -4.551 eV/atom.